Version 1
A plane-wave DFT calculation with PBE was carried out for a relaxed YHoHg crystal.

```
YHoHg
1.0
7.0859 0.0000 0.0000
0.0000 5.0756 0.0000
0.0000 0.0000 9.1659
Y Ho Hg
4 4 4
Direct
0.0159 0.2500 0.1936 Y
0.4841 0.7500 0.6936 Y
0.5159 0.2500 0.3064 Y
0.9841 0.7500 0.8064 Y
0.1680 0.2500 0.5750 Ho
0.3320 0.7500 0.0750 Ho
0.6680 0.2500 0.9250 Ho
0.8320 0.7500 0.4250 Ho
0.2405 0.2500 0.8989 Hg
0.2595 0.7500 0.3989 Hg
0.7405 0.2500 0.6011 Hg
0.7595 0.7500 0.1011 Hg
```

**Total magnetic moment**: 0.01 μB/f.u.



Version 2
A plane-wave DFT calculation with PBE was carried out for a relaxed YHoHg crystal.

```
YHoHg
1.0
0.0000 3.5953 3.5953
3.5953 0.0000 3.5953
3.5953 3.5953 0.0000
Y Ho Hg
1 1 1
Direct
0.0000 0.0000 0.0000 Y
0.5000 0.5000 0.5000 Ho
0.7500 0.7500 0.7500 Hg
```

**Total magnetic moment**: 0.01 μB/f.u.



Ranked by calculated energy, most stable first: version 1, version 2.



Version 1
A plane-wave DFT calculation with PBE was carried out for a relaxed Y2HoHg crystal.

```
Y2HoHg
1.0
3.4472 -5.9329 0.0000
3.4472 5.9329 0.0000
0.0000 0.0000 5.4006
Y Ho Hg
4 2 2
Direct
0.1548 0.3310 0.2500 Y
0.3310 0.1548 0.7500 Y
0.6690 0.8452 0.2500 Y
0.8452 0.6690 0.7500 Y
0.3283 0.6717 0.7500 Ho
0.6717 0.3283 0.2500 Ho
0.1666 0.8334 0.2500 Hg
0.8334 0.1666 0.7500 Hg
```

**Total magnetic moment**: 0.04 μB/f.u.



Version 2
A plane-wave DFT calculation with PBE was carried out for a relaxed Y2HoHg crystal.

```
Y2HoHg
1.0
5.1243 0.0000 0.0000
0.0000 5.3229 4.1649
0.0000 -5.3229 4.1649
Y Ho Hg
4 2 2
Direct
0.2500 0.1108 0.8892 Y
0.2500 0.5933 0.8199 Y
0.7500 0.8199 0.5933 Y
0.7500 0.8892 0.1108 Y
0.2500 0.1790 0.4039 Ho
0.7500 0.4039 0.1790 Ho
0.2500 0.6753 0.3194 Hg
0.7500 0.3194 0.6753 Hg
```

**Total magnetic moment**: 0.04 μB/f.u.



Version 3
A plane-wave DFT calculation with PBE was carried out for a relaxed Y2HoHg crystal.

```
Y2HoHg
1.0
5.4058 0.0000 0.0000
0.0000 3.6325 5.7684
0.0000 -3.6325 5.7684
Y Ho Hg
4 2 2
Direct
0.0000 0.0000 0.0000 Y
0.0000 0.4938 0.9919 Y
0.0000 0.9919 0.4938 Y
0.5000 0.3168 0.3168 Y
0.0000 0.5022 0.5022 Ho
0.5000 0.8122 0.8122 Ho
0.5000 0.3240 0.8233 Hg
0.5000 0.8233 0.3240 Hg
```

**Total magnetic moment**: 0.05 μB/f.u.



Ranked by calculated energy, most stable first: version 2, version 1, version 3.



Version 1
A plane-wave DFT calculation with PBE was carried out for a relaxed Y3Ho2Hg3 crystal.

```
Y3Ho2Hg3
1.0
5.5944 0.0000 0.0000
0.0000 3.7022 5.2967
0.0000 -3.7022 5.2967
Y Ho Hg
3 2 3
Direct
0.0000 0.0000 0.0000 Y
0.5000 0.1806 0.6874 Y
0.5000 0.6874 0.1806 Y
0.0000 0.5575 0.5575 Ho
0.5000 0.1884 0.1884 Ho
0.0000 0.0717 0.4872 Hg
0.0000 0.4872 0.0717 Hg
0.5000 0.6872 0.6872 Hg
```

**Total magnetic moment**: 0.29 μB/f.u.



Version 2
A plane-wave DFT calculation with PBE was carried out for a relaxed Y3Ho2Hg3 crystal.

```
Y3Ho2Hg3
1.0
6.9410 0.0000 0.0000
-3.4705 6.0111 0.0000
0.0000 0.0000 5.1918
Y Ho Hg
3 2 3
Direct
0.1698 0.3395 0.0000 Y
0.1698 0.8302 0.0000 Y
0.6605 0.8302 0.0000 Y
0.0000 0.0000 0.5000 Ho
0.6667 0.3333 0.0000 Ho
0.0021 0.5010 0.5000 Hg
0.4990 0.5010 0.5000 Hg
0.4990 0.9979 0.5000 Hg
```

**Total magnetic moment**: 0.12 μB/f.u.



Ranked by calculated energy, most stable first: version 1, version 2.



Version 1
A plane-wave DFT calculation with PBE was carried out for a relaxed Hg2I crystal.

```
Hg2I
1.0
7.4372 0.0000 0.0000
0.0000 7.4372 0.0000
0.0000 0.0000 4.9288
Hg I
4 2
Direct
0.2007 0.2007 0.0000 Hg
0.2993 0.7007 0.5000 Hg
0.7007 0.2993 0.5000 Hg
0.7993 0.7993 0.0000 Hg
0.0000 0.0000 0.5000 I
0.5000 0.5000 0.0000 I
```



Version 2
A plane-wave DFT calculation with PBE was carried out for a relaxed Hg2I crystal.

```
Hg2I
1.0
0.0000 4.4438 4.4438
4.4438 0.0000 4.4438
4.4438 4.4438 0.0000
Hg I
4 2
Direct
0.0000 0.0000 0.0000 Hg
0.0000 0.0000 0.5000 Hg
0.0000 0.5000 0.0000 Hg
0.5000 0.0000 0.0000 Hg
0.3750 0.3750 0.3750 I
0.6250 0.6250 0.6250 I
```



Ranked by calculated energy, most stable first: version 1, version 2.



Version 1
A plane-wave DFT calculation with PBE was carried out for a relaxed NdHgI crystal.

```
NdHgI
1.0
4.1385 0.0000 0.0000
0.0000 4.5500 0.0000
-0.7843 0.0000 9.6574
Nd Hg I
2 2 2
Direct
0.2006 0.2500 0.2470 Nd
0.7994 0.7500 0.7530 Nd
0.2848 0.7500 0.0157 Hg
0.7152 0.2500 0.9843 Hg
0.2752 0.2500 0.6163 I
0.7248 0.7500 0.3837 I
```

**Total magnetic moment**: 0.00 μB/f.u.



Version 2
A plane-wave DFT calculation with PBE was carried out for a relaxed NdHgI crystal.

```
NdHgI
1.0
3.6252 0.0000 0.0000
0.0000 5.6455 0.0000
-0.0314 0.0000 8.8523
Nd Hg I
2 2 2
Direct
0.0000 0.0000 0.0000 Nd
0.0000 0.5000 0.5000 Nd
0.4970 0.0000 0.6612 Hg
0.5030 0.0000 0.3388 Hg
0.4970 0.5000 0.1896 I
0.5030 0.5000 0.8104 I
```

**Total magnetic moment**: 0.00 μB/f.u.



Ranked by calculated energy, most stable first: version 1, version 2.



Version 1
A plane-wave DFT calculation with PBE was carried out for a relaxed LuInNiHg crystal.

```
LuInNiHg
1.0
0.0000 3.4020 3.4020
3.4020 0.0000 3.4020
3.4020 3.4020 0.0000
Lu In Ni Hg
1 1 1 1
Direct
0.0000 0.0000 0.0000 Lu
0.2500 0.2500 0.2500 In
0.5000 0.5000 0.5000 Ni
0.7500 0.7500 0.7500 Hg
```

**Total magnetic moment**: 0.01 μB/f.u.



Version 2
A plane-wave DFT calculation with PBE was carried out for a relaxed LuInNiHg crystal.

```
LuInNiHg
1.0
0.0000 3.4098 3.4098
3.4098 0.0000 3.4098
3.4098 3.4098 0.0000
Lu In Ni Hg
1 1 1 1
Direct
0.0000 0.0000 0.0000 Lu
0.5000 0.5000 0.5000 In
0.7500 0.7500 0.7500 Ni
0.2500 0.2500 0.2500 Hg
```

**Total magnetic moment**: 0.00 μB/f.u.



Ranked by calculated energy, most stable first: version 2, version 1.



Version 1
A plane-wave DFT calculation with PBE was carried out for a relaxed LuInHgTe3 crystal.

```
LuInHgTe3
1.0
8.5624 0.0000 0.0000
0.0000 4.3943 0.0000
-3.3083 0.0000 10.5110
Lu In Hg Te
2 2 2 6
Direct
0.1905 0.2500 0.1454 Lu
0.8095 0.7500 0.8546 Lu
0.2318 0.7500 0.7139 In
0.7682 0.2500 0.2861 In
0.4176 0.7500 0.3845 Hg
0.5824 0.2500 0.6155 Hg
0.0589 0.2500 0.8605 Te
0.2309 0.2500 0.4431 Te
0.4370 0.7500 0.1345 Te
0.5630 0.2500 0.8655 Te
0.7691 0.7500 0.5569 Te
0.9411 0.7500 0.1395 Te
```

**Total magnetic moment**: 0.01 μB/f.u.



Version 2
A plane-wave DFT calculation with PBE was carried out for a relaxed LuInHgTe3 crystal.

```
LuInHgTe3
1.0
2.1944 -7.6022 0.0000
2.1944 7.6022 0.0000
0.0000 0.0000 11.4827
Lu In Hg Te
2 2 2 6
Direct
0.0000 0.0000 0.0000 Lu
0.0000 0.0000 0.5000 Lu
0.2409 0.7591 0.7500 In
0.7591 0.2409 0.2500 In
0.4609 0.5391 0.2500 Hg
0.5391 0.4609 0.7500 Hg
0.0846 0.9154 0.2500 Te
0.3616 0.6384 0.0433 Te
0.3616 0.6384 0.4567 Te
0.6384 0.3616 0.5433 Te
0.6384 0.3616 0.9567 Te
0.9154 0.0846 0.7500 Te
```

**Total magnetic moment**: 0.00 μB/f.u.



Ranked by calculated energy, most stable first: version 2, version 1.



Version 1
A plane-wave DFT calculation with PBE was carried out for a relaxed LuInHgTe3 crystal.

```
LuInHgTe3
1.0
11.6369 0.0000 0.0000
0.0000 4.4227 0.0000
0.0000 0.0000 14.9248
Lu In Hg Te
4 4 4 12
Direct
0.0181 0.2500 0.2405 Lu
0.4819 0.7500 0.7405 Lu
0.5181 0.2500 0.2595 Lu
0.9819 0.7500 0.7595 Lu
0.2050 0.7500 0.5072 In
0.2950 0.2500 0.0072 In
0.7050 0.7500 0.9928 In
0.7950 0.2500 0.4928 In
0.2461 0.2500 0.7142 Hg
0.2539 0.7500 0.2142 Hg
0.7461 0.2500 0.7858 Hg
0.7539 0.7500 0.2858 Hg
0.0308 0.2500 0.6200 Te
0.0607 0.7500 0.1032 Te
0.2343 0.7500 0.8374 Te
0.2657 0.2500 0.3374 Te
0.4393 0.2500 0.6032 Te
0.4692 0.7500 0.1200 Te
0.5308 0.2500 0.8800 Te
0.5607 0.7500 0.3968 Te
0.7343 0.7500 0.6626 Te
0.7657 0.2500 0.1626 Te
0.9393 0.2500 0.8968 Te
0.9692 0.7500 0.3800 Te
```

**Total magnetic moment**: 0.00 μB/f.u.



Version 2
A plane-wave DFT calculation with PBE was carried out for a relaxed LuInHgTe3 crystal.

```
LuInHgTe3
1.0
9.5655 -2.1502 0.0000
9.5655 2.1502 0.0000
-2.0994 0.0000 9.3007
Lu In Hg Te
2 2 2 6
Direct
0.1744 0.1744 0.0892 Lu
0.8256 0.8256 0.9108 Lu
0.1323 0.1323 0.5772 In
0.8677 0.8677 0.4228 In
0.4630 0.4630 0.7790 Hg
0.5370 0.5370 0.2210 Hg
0.0000 0.0000 0.0000 Te
0.3083 0.3083 0.6785 Te
0.3338 0.3338 0.1359 Te
0.5000 0.5000 0.5000 Te
0.6662 0.6662 0.8641 Te
0.6917 0.6917 0.3215 Te
```

**Total magnetic moment**: 0.00 μB/f.u.



Version 3
A plane-wave DFT calculation with PBE was carried out for a relaxed LuInHgTe3 crystal.

```
LuInHgTe3
1.0
8.8172 0.0000 0.0000
0.0000 4.6372 0.0000
0.0000 0.0000 18.3287
Lu In Hg Te
4 4 4 12
Direct
0.2311 0.2500 0.0375 Lu
0.2689 0.7500 0.5375 Lu
0.7311 0.2500 0.4625 Lu
0.7689 0.7500 0.9625 Lu
0.0546 0.2500 0.7989 In
0.4454 0.7500 0.2989 In
0.5546 0.2500 0.7011 In
0.9454 0.7500 0.2011 In
0.0845 0.2500 0.3400 Hg
0.4155 0.7500 0.8400 Hg
0.5845 0.2500 0.1600 Hg
0.9155 0.7500 0.6600 Hg
0.0058 0.2500 0.5725 Te
0.1223 0.7500 0.9425 Te
0.2347 0.2500 0.2040 Te
0.2653 0.7500 0.7040 Te
0.3777 0.2500 0.4425 Te
0.4942 0.7500 0.0725 Te
0.5058 0.2500 0.9275 Te
0.6223 0.7500 0.5575 Te
0.7347 0.2500 0.2960 Te
0.7653 0.7500 0.7960 Te
0.8777 0.2500 0.0575 Te
0.9942 0.7500 0.4275 Te
```

**Total magnetic moment**: 0.00 μB/f.u.



Ranked by calculated energy, most stable first: version 1, version 2, version 3.



Version 1
A plane-wave DFT calculation with PBE was carried out for a relaxed InNiHgMo crystal.

```
InNiHgMo
1.0
0.0000 3.2710 3.2710
3.2710 0.0000 3.2710
3.2710 3.2710 0.0000
In Ni Hg Mo
1 1 1 1
Direct
0.0000 0.0000 0.0000 In
0.2500 0.2500 0.2500 Ni
0.5000 0.5000 0.5000 Hg
0.7500 0.7500 0.7500 Mo
```

**Total magnetic moment**: 2.14 μB/f.u.



Version 2
A plane-wave DFT calculation with PBE was carried out for a relaxed InNiHgMo crystal.

```
InNiHgMo
1.0
0.0000 3.7646 3.7646
3.7646 0.0000 3.7646
3.7646 3.7646 0.0000
In Ni Hg Mo
1 1 1 1
Direct
0.0000 0.0000 0.0000 In
0.2500 0.2500 0.2500 Ni
0.7500 0.7500 0.7500 Hg
0.5000 0.5000 0.5000 Mo
```

**Total magnetic moment**: 3.62 μB/f.u.



Ranked by calculated energy, most stable first: version 1, version 2.



Version 1
A plane-wave DFT calculation with PBE was carried out for a relaxed InHgNO crystal.

```
InHgNO
1.0
4.0529 0.0000 0.0000
0.0000 4.0529 0.0000
0.0000 0.0000 7.3208
In Hg N O
2 2 2 2
Direct
0.2500 0.2500 0.1215 In
0.7500 0.7500 0.8785 In
0.2500 0.7500 0.5000 Hg
0.7500 0.2500 0.5000 Hg
0.2500 0.2500 0.6954 N
0.7500 0.7500 0.3046 N
0.2500 0.7500 0.0000 O
0.7500 0.2500 0.0000 O
```



Version 2
A plane-wave DFT calculation with PBE was carried out for a relaxed InHgNO crystal.

```
InHgNO
1.0
4.8414 0.0000 0.0000
0.0000 4.8414 0.0000
0.0000 0.0000 4.6749
In Hg N O
2 2 2 2
Direct
0.2500 0.7500 0.0000 In
0.7500 0.2500 0.0000 In
0.2500 0.2500 0.4977 Hg
0.7500 0.7500 0.5023 Hg
0.2500 0.2500 0.9977 N
0.7500 0.7500 0.0023 N
0.2500 0.7500 0.5000 O
0.7500 0.2500 0.5000 O
```



Ranked by calculated energy, most stable first: version 2, version 1.



Version 1
A plane-wave DFT calculation with PBE was carried out for a relaxed InHgNO crystal.

```
InHgNO
1.0
3.6231 0.0000 0.0000
0.0000 6.3299 0.0000
0.0000 0.0000 5.9664
In Hg N O
2 2 2 2
Direct
0.0000 0.1556 0.0000 In
0.0000 0.8444 0.5000 In
0.5000 0.3713 0.5265 Hg
0.5000 0.6287 0.0265 Hg
0.5000 0.3010 0.8886 N
0.5000 0.6990 0.3886 N
0.0000 0.1508 0.3554 O
0.0000 0.8492 0.8554 O
```



Version 2
A plane-wave DFT calculation with PBE was carried out for a relaxed InHgNO crystal.

```
InHgNO
1.0
3.6952 0.0000 0.0000
0.0000 6.2743 0.0000
0.0000 0.0000 5.9361
In Hg N O
2 2 2 2
Direct
0.0000 0.1594 0.0000 In
0.0000 0.8406 0.5000 In
0.5000 0.3158 0.4787 Hg
0.5000 0.6842 0.9787 Hg
0.0000 0.1562 0.3613 N
0.0000 0.8438 0.8613 N
0.5000 0.3102 0.9003 O
0.5000 0.6898 0.4003 O
```



Ranked by calculated energy, most stable first: version 1, version 2.